DFT (GGA-PBE) results for crystalline GaIrIO2 at its relaxed geometry.

a = 3.720 Å, b = 3.720 Å, c = 8.206 Å
α = 90.00°, β = 90.00°, γ = 90.00°
Last column: magnetic moment on the atom in μB.
Fractional coordinates of all 5 atoms:
1 O 0.500 0.000 0.000  0.41
2 O 0.000 0.500 0.000  0.41
3 Ga 0.000 0.000 0.000  -0.03
4 I 0.000 0.000 0.500  0.00
5 Ir 0.500 0.500 0.500  0.03

Output
Space-group type: P4/mmm
Formation energy from raw total energies in eV/atom: 0.14
Energy relative to the lowest polymorph listed for this composition in meV/atom: 264